Below is LaAgI3 after structural relaxation, with properties calculated at the GGA-PBE level.

POSCAR file:
```
LaAgI3
1.0
-0.4042 3.4133 5.2647
5.1716 -2.8061 2.2163
3.5528 4.4729 -2.6272
I Ag La
3 1 1
Cartesian
2.5858 -1.4030 1.1082
1.7764 2.2364 -1.3136
-0.2021 1.7067 2.6324
4.1601 2.5401 2.4269
0.0000 0.0000 0.0000
```

Output
VASP energy, eV/atom: -3.16
ΔE_f (raw), meV per atom: -671
V, Å³/cell: 248.55

Below is La2Er4Tm3 after structural relaxation, with properties calculated at the GGA-PBE level.

POSCAR file:
```
La2Er4Tm3
1.0
6.6680 -0.9349 -1.3831
-3.8379 5.5323 -1.3831
0.4834 0.7852 8.4506
La Er Tm
2 4 3
Cartesian
1.8531 3.0104 0.2479
1.4603 2.3722 5.4365
2.2246 0.2240 2.6482
1.0889 5.1585 3.0361
4.1153 3.2955 3.0361
-0.8019 2.0871 2.6482
3.3340 -0.4675 -0.6916
-1.9189 2.7662 -0.6916
0.0000 0.0000 0.0000
```

Output
VASP energy, eV/atom: -4.43
V, Å³/cell: 297.15
Energy above the most stable polymorph in this dataset, meV/atom: 132
ΔE_f, meV/atom: 180

Below is Na2MgGa4Au3 after structural relaxation, with properties calculated at the GGA-PBE level.

POSCAR file:
```
Na2MgGa4Au3
1.0
-1.3029 1.2572 3.7375
-1.9218 -3.6395 0.5543
10.0560 -4.5434 5.0338
Na Mg Ga Au
2 1 4 3
Cartesian
1.8132 -0.4850 3.1025
6.6305 -5.2497 4.0772
3.4156 -3.4629 4.6628
-1.6124 -1.1912 2.1459
0.0000 0.0000 0.0000
5.8970 -2.3301 5.1467
2.5467 -3.4045 2.0329
5.0280 -2.2717 2.5169
7.9974 -3.2791 6.1981
0.4462 -2.4555 0.9815
```

Output
VASP energy, eV/atom: -2.89
V, Å³/cell: 209.18
ΔE_f, meV/atom: -272

Below is YPaHgPd after structural relaxation, with properties calculated at the GGA-PBE level.

POSCAR file:
```
YPaHgPd
1.0
-1.0606 -4.6723 1.8301
2.7918 -1.9457 3.8372
-2.0642 -0.5186 4.6663
Y Pa Hg Pd
1 1 1 1
Cartesian
-0.1665 -3.5683 5.1668
0.0000 0.0000 0.0000
-0.0832 -1.7841 2.5834
-0.2497 -5.3524 7.7502
```

Output
VASP energy, eV/atom: -5.61
V, Å³/cell: 95.39
ΔE_f, meV/atom: -243